# TiOsRuS

An optimized crystal structure of TiOsRuS (PBE, Alexandria via LeMat-Bulk).

The density of states at the Fermi level is 2.57 states/eV/cell. For the energy relative to the elements, uncorrected, the calculation gives -290 meV/atom. The energy above the lowest structure with this stoichiometry is 48 meV/atom. As for the space group: I4mm. The calculated density comes out at 10.1 g/cm3.

Cell lengths 7.4403, 7.4403, 7.4403 Å; angles 157.35, 157.35, 32.25 degrees
Atoms (fractional coordinates):
1 Ti 0.0000 0.0000 0.0000
2 Os 0.7506 0.7506 0.0000
3 Ru 0.3603 0.3603 0.0000
4 S 0.5896 0.5896 0.0000

# BAu2F2

An optimized crystal structure of BAu2F2 (PBE, Alexandria via LeMat-Bulk).

The density of states at the Fermi level is 1.94 states/eV/cell. For the energy relative to the elements, uncorrected, the calculation gives 644 meV/atom. The energy above the lowest structure with this stoichiometry is 154 meV/atom. As for the space group: I4/mmm. The calculated density comes out at 8.3 g/cm3.

Cell lengths 6.8208, 6.8208, 6.8208 Å; angles 148.09, 148.09, 45.75 degrees
Atoms (fractional coordinates):
1 B 0.0000 0.0000 0.0000
2 Au 0.2500 0.7500 0.5000
3 Au 0.7500 0.2500 0.5000
4 F 0.4009 0.4009 0.0000
5 F 0.5991 0.5991 0.0000

# LiNdCdHg

An optimized crystal structure of LiNdCdHg (PBE, Alexandria via LeMat-Bulk).

The density of states at the Fermi level is 3.25 states/eV/cell. As for the space group: F-43m. The calculated density comes out at 8.0 g/cm3. Its energy relative to the elements is -0.3661 eV per atom.

Cell lengths 5.1536, 5.1536, 5.1536 Å; angles 60.00, 60.00, 60.00 degrees
Atoms (fractional coordinates):
1 Li 0.0000 0.0000 0.0000
2 Nd 0.5000 0.5000 0.5000
3 Cd 0.7500 0.7500 0.7500
4 Hg 0.2500 0.2500 0.2500

# LiBi3Se

An optimized crystal structure of LiBi3Se (PBE, Alexandria via LeMat-Bulk).

The density of states at the Fermi level is 6.52 states/eV/cell. For the energy relative to the elements, uncorrected, the calculation gives 329 meV/atom. The energy above the lowest structure with this stoichiometry is 0 meV/atom. As for the space group: Pm-3m. The calculated density comes out at 8.6 g/cm3.

Cell lengths 5.1572, 5.1572, 5.1572 Å; angles 90.00, 90.00, 90.00 degrees
Atoms (fractional coordinates):
1 Li 0.0000 0.0000 0.0000
2 Bi 0.0000 0.0000 0.5000
3 Bi 0.0000 0.5000 0.0000
4 Bi 0.5000 0.0000 0.0000
5 Se 0.5000 0.5000 0.5000

# Tm2MgTe

An optimized crystal structure of Tm2MgTe (PBE, Alexandria via LeMat-Bulk).

The density of states at the Fermi level is 4.33 states/eV/cell. For the energy relative to the elements, uncorrected, the calculation gives -441 meV/atom. The energy above the lowest structure with this stoichiometry is 89 meV/atom. As for the space group: R3m. The calculated density comes out at 6.9 g/cm3.

Cell lengths 9.2864, 9.2864, 9.2864 Å; angles 24.18, 24.18, 24.18 degrees
Atoms (fractional coordinates):
1 Tm 0.0000 0.0000 0.0000
2 Tm 0.1826 0.1826 0.1826
3 Mg 0.4245 0.4245 0.4245
4 Te 0.5919 0.5919 0.5919

# KMg2Tl4In

An optimized crystal structure of KMg2Tl4In (PBE, Alexandria via LeMat-Bulk).

The density of states at the Fermi level is 2.79 states/eV/cell. As for the space group: R-3m. The calculated density comes out at 6.8 g/cm3. Its energy relative to the elements is -0.0325 eV per atom.

Cell lengths 10.7780, 10.7780, 10.7780 Å; angles 28.27, 28.27, 28.27 degrees
Atoms (fractional coordinates):
1 K 0.0000 0.0000 0.0000
2 Mg 0.2281 0.2281 0.2281
3 Mg 0.7719 0.7719 0.7719
4 Tl 0.1229 0.1229 0.1229
5 Tl 0.3992 0.3992 0.3992
6 Tl 0.6008 0.6008 0.6008
7 Tl 0.8771 0.8771 0.8771
8 In 0.5000 0.5000 0.5000

# UNi6As2

An optimized crystal structure of UNi6As2 (PBE, Alexandria via LeMat-Bulk).

The density of states at the Fermi level is 9.88 states/eV/cell. As for the space group: Immm. The calculated density comes out at 9.7 g/cm3. Its energy relative to the elements is -0.1659 eV per atom.

Cell lengths 6.1330, 6.1330, 6.1330 Å; angles 144.80, 97.89, 92.61 degrees
Atoms (fractional coordinates):
1 U 0.0000 0.0000 0.0000
2 Ni 0.1210 0.7821 0.3389
3 Ni 0.2494 0.5000 0.7494
4 Ni 0.4431 0.7821 0.6611
5 Ni 0.5569 0.2179 0.3389
6 Ni 0.7506 0.5000 0.2506
7 Ni 0.8790 0.2179 0.6611
8 As 0.3431 0.3431 0.0000
9 As 0.6569 0.6569 0.0000

# CeH6Pd3

An optimized crystal structure of CeH6Pd3 (PBE, Alexandria via LeMat-Bulk).

The density of states at the Fermi level is 5.91 states/eV/cell. As for the space group: P1. The calculated density comes out at 8.0 g/cm3. The value obtained for the electronic total energy is -4.459 eV/atom.

Cell lengths 4.9948, 4.9951, 5.3231 Å; angles 117.95, 90.06, 119.94 degrees
Atoms (fractional coordinates):
1 Ce 0.0000 0.0000 0.0000
2 H 0.1350 0.6270 0.4783
3 H 0.4720 0.4490 0.9528
4 H 0.4921 0.3436 0.4786
5 H 0.5037 0.9756 0.9515
6 H 0.8519 0.9870 0.4788
7 H 0.9770 0.4805 0.9521
8 Pd 0.2378 0.4755 0.7131
9 Pd 0.5399 0.0799 0.6199
10 Pd 0.7594 0.5195 0.2788

# NaAlCl2

An optimized crystal structure of NaAlCl2 (PBE, Alexandria via LeMat-Bulk).

The density of states at the Fermi level is 0.00 states/eV/cell. For the energy relative to the elements, uncorrected, the calculation gives -904 meV/atom. The energy above the lowest structure with this stoichiometry is 58 meV/atom. As for the space group: Fm-3m. The calculated density comes out at 2.1 g/cm3.

Cell lengths 5.1052, 5.1052, 5.1052 Å; angles 60.00, 60.00, 60.00 degrees
Atoms (fractional coordinates):
1 Na 0.0000 0.0000 0.0000
2 Al 0.5000 0.5000 0.5000
3 Cl 0.2500 0.2500 0.2500
4 Cl 0.7500 0.7500 0.7500

# Ba2Al2Ir

An optimized crystal structure of Ba2Al2Ir (PBE, Alexandria via LeMat-Bulk).

The density of states at the Fermi level is 5.05 states/eV/cell. The energy above the lowest structure with this stoichiometry is 0 meV/atom. As for the space group: R-3m. The calculated density comes out at 5.3 g/cm3. Its energy relative to the elements is -0.4390 eV per atom.

Cell lengths 10.4350, 10.4350, 10.4350 Å; angles 23.96, 23.96, 23.96 degrees
Atoms (fractional coordinates):
1 Ba 0.0703 0.0703 0.0703
2 Ba 0.9297 0.9297 0.9297
3 Al 0.1842 0.1842 0.1842
4 Al 0.8158 0.8158 0.8158
5 Ir 0.5000 0.5000 0.5000

# NdY3Te4

An optimized crystal structure of NdY3Te4 (PBE, Alexandria via LeMat-Bulk).

The density of states at the Fermi level is 5.15 states/eV/cell. For the energy relative to the elements, uncorrected, the calculation gives -1336 meV/atom. As for the space group: Cmmm. The calculated density comes out at 6.4 g/cm3.

Cell lengths 7.6529, 7.6529, 4.3463 Å; angles 90.00, 90.00, 108.83 degrees
Atoms (fractional coordinates):
1 Nd 0.0000 0.0000 0.0000
2 Y 0.0000 0.5000 0.5000
3 Y 0.5000 0.0000 0.5000
4 Y 0.5000 0.5000 0.0000
5 Te 0.2537 0.7463 0.0000
6 Te 0.2574 0.2574 0.5000
7 Te 0.7426 0.7426 0.5000
8 Te 0.7463 0.2537 0.0000

# Ba2SnHg2

An optimized crystal structure of Ba2SnHg2 (PBE, Alexandria via LeMat-Bulk).

The density of states at the Fermi level is 6.42 states/eV/cell. The energy above the lowest structure with this stoichiometry is 67 meV/atom. As for the space group: P4/mbm. The calculated density comes out at 7.4 g/cm3. Its energy relative to the elements is -0.4760 eV per atom.

Cell lengths 8.9007, 8.9007, 4.5299 Å; angles 90.00, 90.00, 90.00 degrees
Atoms (fractional coordinates):
1 Ba 0.1812 0.3188 0.0000
2 Ba 0.3188 0.8188 0.0000
3 Ba 0.6812 0.1812 0.0000
4 Ba 0.8188 0.6812 0.0000
5 Sn 0.0000 0.0000 0.5000
6 Sn 0.5000 0.5000 0.5000
7 Hg 0.1202 0.6202 0.5000
8 Hg 0.3797 0.1202 0.5000
9 Hg 0.6202 0.8798 0.5000
10 Hg 0.8798 0.3797 0.5000

Which value of calculated density does entry 8 give? 8.0 g/cm3

Among the records above, which one has the highest calculated density? TiOsRuS